Entry 1:
Entry from Alexandria via LeMat-Bulk: a relaxed TaMnTc2 crystal (PBE-GGA).

Lattice parameters (Å, degrees): 5.1265 5.1265 2.7242 79.41 79.41 116.78
With the nearest neighbours (Å) after each atom.
Sites, in units of the cell vectors:
1 Mn 0.5000 0.0000 0.5000  4 Tc 2.67, 2 Ta 2.69, 2 Mn 2.72
2 Ta 0.0000 0.5000 0.5000  4 Tc 2.67, 2 Mn 2.69, 2 Ta 2.72
3 Tc 0.0000 0.0000 0.0000  2 Mn 2.67, 2 Ta 2.67, 4 Tc 2.69-2.72
4 Tc 0.5000 0.5000 0.0000  2 Ta 2.67, 2 Mn 2.67, 4 Tc 2.69-2.72

## Properties
The formation energy is -0.008 eV per atom. The space group is C2/m, No. 12.

=====

Entry 2:
Entry from Alexandria via LeMat-Bulk: a relaxed BeAsSe2 crystal (PBE-GGA).

Lattice parameters (Å, degrees): 3.2452 3.2452 8.9147 90.00 90.00 116.57
With the nearest neighbours (Å) after each atom.
Sites, in units of the cell vectors:
1 Be 0.5000 0.5000 0.7508  2 Se 2.14
2 As 0.0000 0.0000 0.5401  2 Be 2.54, 2 Se 2.64
3 Se 0.0000 0.0000 0.8956  2 Be 2.14
4 Se 0.5000 0.5000 0.3135  2 As 2.64

## Properties
Its energy above the most stable polymorph in this dataset is 0.346 eV per atom. The calculation puts the uncorrected formation energy at 0.230 eV/atom. The space group is Cmm2, No. 35.

=====

Entry 3:
Entry from Alexandria via LeMat-Bulk: a relaxed Sc2Co2Cu crystal (PBE-GGA).

Lattice parameters (Å, degrees): 6.4101 6.4101 3.7255 90.00 90.00 90.00
With the nearest neighbours (Å) after each atom.
Sites, in units of the cell vectors:
1 Sc 0.1780 0.6780 0.5000  6 Co 2.57-2.72
2 Sc 0.6780 0.8220 0.5000  6 Co 2.57-2.72
3 Sc 0.8220 0.3220 0.5000  6 Co 2.57-2.72
4 Sc 0.3220 0.1780 0.5000  6 Co 2.57-2.72
5 Co 0.3737 0.8737 0.0000  1 Co 2.29, 2 Cu 2.53
6 Co 0.8737 0.6263 0.0000  1 Co 2.29, 2 Cu 2.53
7 Co 0.6263 0.1263 0.0000  1 Co 2.29, 2 Cu 2.53
8 Co 0.1263 0.3737 0.0000  1 Co 2.29, 2 Cu 2.53
9 Cu 0.0000 0.0000 0.0000  4 Co 2.53
10 Cu 0.5000 0.5000 0.0000  4 Co 2.53

## Properties
The formation energy is -0.240 eV per atom. Its energy above the most stable polymorph in this dataset is 0.000 eV per atom. The space group is P4/mbm, No. 127.

=====

Entry 4:
Entry from Alexandria via LeMat-Bulk: a relaxed LiZrCdGa crystal (PBE-GGA).

Lattice parameters (Å, degrees): 4.7490 4.7490 4.7490 60.00 60.00 60.00
With the nearest neighbours (Å) after each atom.
Sites, in units of the cell vectors:
1 Li 0.0000 0.0000 0.0000  4 Ga 2.91, 4 Cd 2.91
2 Ga 0.2500 0.2500 0.2500  4 Li 2.91, 4 Zr 2.91
3 Zr 0.5000 0.5000 0.5000  4 Cd 2.91, 4 Ga 2.91
4 Cd 0.7500 0.7500 0.7500  4 Zr 2.91, 4 Li 2.91

## Properties
The formation energy is -0.212 eV per atom. The space group is F-43m, No. 216.

=====

Entry 5:
Entry from Alexandria via LeMat-Bulk: a relaxed PrHo4Er15 crystal (PBE-GGA).

Lattice parameters (Å, degrees): 5.6418 5.6418 19.7243 90.00 90.00 90.00
With the nearest neighbours (Å) after each atom.
Sites, in units of the cell vectors:
1 Pr 0.0000 0.0000 0.0000  8 Er 3.55
2 Ho 0.0000 0.0000 0.2085  8 Er 3.37-3.44, 1 Ho 3.77
3 Ho 0.0000 0.0000 0.3998  8 Er 3.41-3.44, 1 Ho 3.77
4 Ho 0.0000 0.0000 0.6002  8 Er 3.41-3.44, 1 Ho 3.77
5 Ho 0.0000 0.0000 0.7915  8 Er 3.37-3.44, 1 Ho 3.77
6 Er 0.5000 0.5000 0.0000  8 Er 3.55
7 Er 0.5000 0.5000 0.2063  8 Er 3.40-3.41
8 Er 0.5000 0.5000 0.3998  9 Er 3.41-3.82
9 Er 0.5000 0.5000 0.6002  9 Er 3.41-3.82
10 Er 0.5000 0.5000 0.7937  8 Er 3.40-3.41
11 Er 0.5000 0.0000 0.1089  5 Er 3.41-3.81, 2 Ho 3.44, 2 Pr 3.55
12 Er 0.5000 0.0000 0.3023  4 Ho 3.37-3.41, 4 Er 3.40-3.41
13 Er 0.5000 0.0000 0.5000  4 Er 3.44, 4 Ho 3.44
14 Er 0.5000 0.0000 0.6977  4 Ho 3.37-3.41, 4 Er 3.40-3.41
15 Er 0.5000 0.0000 0.8911  5 Er 3.41-3.81, 2 Ho 3.44, 2 Pr 3.55
16 Er 0.0000 0.5000 0.1089  5 Er 3.41-3.81, 2 Ho 3.44, 2 Pr 3.55
17 Er 0.0000 0.5000 0.3023  4 Ho 3.37-3.41, 4 Er 3.40-3.41
18 Er 0.0000 0.5000 0.5000  4 Er 3.44, 4 Ho 3.44
19 Er 0.0000 0.5000 0.6977  4 Ho 3.37-3.41, 4 Er 3.40-3.41
20 Er 0.0000 0.5000 0.8911  5 Er 3.41-3.81, 2 Ho 3.44, 2 Pr 3.55

## Properties
The formation energy is 0.137 eV per atom. The space group is P4/mmm, No. 123.

=====

Entry 6:
Entry from Alexandria via LeMat-Bulk: a relaxed Ce2SmWN5 crystal (PBE-GGA).

Lattice parameters (Å, degrees): 5.8638 6.6801 6.6801 90.00 90.00 90.00
With the nearest neighbours (Å) after each atom.
Sites, in units of the cell vectors:
1 Ce 0.5000 0.6703 0.1703  4 N 2.32-2.48
2 Ce 0.5000 0.1703 0.3297  4 N 2.32-2.48
3 Ce 0.5000 0.8297 0.6703  4 N 2.32-2.48
4 Ce 0.5000 0.3297 0.8297  4 N 2.32-2.48
5 Sm 0.0000 0.5000 0.5000  10 N 2.90-2.93
6 Sm 0.0000 0.0000 0.0000  10 N 2.90-2.93
7 W 0.0000 0.0000 0.5000  4 N 1.96
8 W 0.0000 0.5000 0.0000  4 N 1.96
9 N 0.5000 0.5000 0.5000  4 Ce 2.48
10 N 0.5000 0.0000 0.0000  4 Ce 2.48
11 N 0.2355 0.1468 0.6468  1 W 1.96
12 N 0.2355 0.8532 0.3532  1 W 1.96
13 N 0.2355 0.3532 0.1468  1 W 1.96
14 N 0.2355 0.6468 0.8532  1 W 1.96
15 N 0.7645 0.1468 0.6468  1 W 1.96
16 N 0.7645 0.6468 0.8532  1 W 1.96
17 N 0.7645 0.8532 0.3532  1 W 1.96
18 N 0.7645 0.3532 0.1468  1 W 1.96

## Properties
The calculation puts the uncorrected formation energy at -1.004 eV/atom. The space group is P4/mbm, No. 127.

=====

Entry 7:
Entry from Alexandria via LeMat-Bulk: a relaxed Li3HoBi2S6 crystal (PBE-GGA).

Lattice parameters (Å, degrees): 6.8659 6.8659 6.6687 99.86 99.86 120.08
With the nearest neighbours (Å) after each atom.
Sites, in units of the cell vectors:
1 Li 0.1754 0.8246 0.5000  6 S 2.72-2.80
2 Li 0.8246 0.1754 0.5000  6 S 2.72-2.80
3 Li 0.5000 0.5000 0.5000  6 S 2.72-2.80
4 Ho 0.0000 0.0000 0.0000  6 S 2.75
5 Bi 0.3343 0.6657 0.0000  6 S 2.81-2.84
6 Bi 0.6657 0.3343 0.0000  6 S 2.81-2.84
7 S 0.9139 0.5898 0.7421  3 Li 2.72, 1 Ho 2.75, 2 Bi 2.82-2.84
8 S 0.7604 0.7604 0.2565  1 Ho 2.75, 3 Li 2.80, 2 Bi 2.81
9 S 0.0861 0.4102 0.2579  3 Li 2.72, 1 Ho 2.75, 2 Bi 2.82-2.84
10 S 0.5898 0.9139 0.7421  3 Li 2.72, 1 Ho 2.75, 2 Bi 2.82-2.84
11 S 0.2396 0.2396 0.7435  1 Ho 2.75, 3 Li 2.80, 2 Bi 2.81
12 S 0.4102 0.0861 0.2579  3 Li 2.72, 1 Ho 2.75, 2 Bi 2.82-2.84

## Properties
The calculation puts the uncorrected formation energy at -1.109 eV/atom. The space group is C2/m, No. 12.

=====

Entry 8:
Entry from Alexandria via LeMat-Bulk: a relaxed AcCuBiPd crystal (PBE-GGA).

Lattice parameters (Å, degrees): 5.1316 5.1316 5.1316 60.00 60.00 60.00
With the nearest neighbours (Å) after each atom.
Sites, in units of the cell vectors:
1 Ac 0.0000 0.0000 0.0000  4 Pd 3.14, 4 Cu 3.14
2 Cu 0.2500 0.2500 0.2500  4 Ac 3.14, 4 Bi 3.14
3 Bi 0.5000 0.5000 0.5000  4 Cu 3.14, 4 Pd 3.14
4 Pd 0.7500 0.7500 0.7500  4 Ac 3.14, 4 Bi 3.14

## Properties
The formation energy is -0.436 eV per atom. The space group is F-43m, No. 216.